{
  "formula": "Y12Bi3N5",
  "functional": "GGA-PBE",
  "state": "relaxed",
  "cell": [[-7.920, -8.877, -6.733], [10.985, 2.964, -7.578], [3.993, -5.531, 11.846]],
  "species": ["Y", "Y", "Y", "Y", "Y", "Y", "Y", "Y", "Y", "Y", "Y", "Y", "Y", "Y", "Y", "Y", "Y", "Y", "Y", "Y", "Y", "Y", "Y", "Y", "Y", "Y", "Y", "Y", "Y", "Y", "Y", "Y", "Y", "Y", "Y", "Y", "Y", "Y", "Y", "Y", "Y", "Y", "Y", "Y", "Y", "Y", "Y", "Y", "N", "N", "N", "N", "N", "N", "N", "N", "N", "N", "N", "N", "N", "N", "N", "N", "N", "N", "N", "N", "Bi", "Bi", "Bi", "Bi", "Bi", "Bi", "Bi", "Bi", "Bi", "Bi", "Bi", "Bi"],
  "fractional_positions": [[0.400, 0.006, 0.312], [0.812, 0.900, 0.006], [0.600, 0.606, 0.412], [0.807, 0.494, 0.394], [0.188, 0.100, 0.994], [0.394, 0.400, 0.088], [0.188, 0.088, 0.693], [0.312, 0.807, 0.412], [0.088, 0.900, 0.394], [0.588, 0.693, 0.688], [0.106, 0.693, 0.506], [0.494, 0.807, 0.894], [0.412, 0.307, 0.312], [0.506, 0.312, 0.900], [0.900, 0.088, 0.894], [0.193, 0.688, 0.088], [0.088, 0.188, 0.193], [0.100, 0.188, 0.494], [0.600, 0.994, 0.688], [0.688, 0.494, 0.600], [0.994, 0.394, 0.307], [0.900, 0.812, 0.506], [0.606, 0.006, 0.193], [0.688, 0.193, 0.588], [0.494, 0.688, 0.100], [0.193, 0.506, 0.606], [0.106, 0.412, 0.100], [0.812, 0.912, 0.307], [0.693, 0.588, 0.188], [0.307, 0.412, 0.812], [0.506, 0.193, 0.106], [0.693, 0.106, 0.006], [0.588, 0.894, 0.400], [0.312, 0.506, 0.400], [0.100, 0.912, 0.106], [0.394, 0.994, 0.807], [0.807, 0.312, 0.912], [0.412, 0.106, 0.600], [0.006, 0.400, 0.812], [0.994, 0.600, 0.188], [0.006, 0.606, 0.693], [0.307, 0.894, 0.994], [0.912, 0.100, 0.606], [0.400, 0.394, 0.588], [0.912, 0.812, 0.807], [0.894, 0.307, 0.494], [0.894, 0.588, 0.900], [0.606, 0.600, 0.912], [0.125, 0.375, 0.250], [0.500, 0.000, 0.000], [0.000, 0.500, 0.000], [0.125, 0.750, 0.375], [0.500, 0.500, 0.500], [0.625, 0.875, 0.250], [0.625, 0.750, 0.875], [0.500, 0.000, 0.500], [0.375, 0.125, 0.750], [0.875, 0.250, 0.625], [0.500, 0.500, 0.000], [0.000, 0.000, 0.500], [0.250, 0.875, 0.125], [0.000, 0.000, 0.000], [0.750, 0.125, 0.875], [0.875, 0.625, 0.750], [0.000, 0.500, 0.500], [0.375, 0.250, 0.125], [0.250, 0.375, 0.625], [0.750, 0.625, 0.375], [0.125, 0.875, 0.750], [0.625, 0.375, 0.750], [0.375, 0.750, 0.625], [0.250, 0.625, 0.875], [0.750, 0.875, 0.625], [0.875, 0.750, 0.125], [0.875, 0.125, 0.250], [0.750, 0.375, 0.125], [0.375, 0.625, 0.250], [0.125, 0.250, 0.875], [0.625, 0.250, 0.375], [0.250, 0.125, 0.375]],
  "mass_density_g_cm3": 5.96,
  "dos_ef_per_ev_cell": 67.18,
  "e_form_raw_ev_per_atom": -0.94
}

{
  "formula": "YBiN2",
  "functional": "GGA-PBE",
  "state": "relaxed",
  "cell": [[1.830, 1.910, 6.468], [4.360, 3.353, 4.310], [1.165, 5.017, 4.722]],
  "species": ["N", "N", "Bi", "Y"],
  "fractional_positions": [[0.109, 0.109, 0.109], [0.891, 0.891, 0.891], [0.000, 0.000, 0.000], [0.500, 0.500, 0.500]],
  "mass_density_g_cm3": 7.13,
  "dos_ef_per_ev_cell": 1.08,
  "e_form_raw_ev_per_atom": -0.16
}

{
  "formula": "Y3BiN",
  "functional": "GGA-PBE",
  "state": "relaxed",
  "cell": [[-3.004, -2.337, -5.440], [-1.948, -7.291, 4.209], [-1.336, 6.717, 1.903]],
  "species": ["Bi", "Bi", "Y", "Y", "Y", "Y", "Y", "Y", "N", "N"],
  "fractional_positions": [[0.416, 0.673, 0.833], [0.584, 0.327, 0.167], [0.520, 0.206, 0.538], [0.953, 0.725, 0.905], [0.047, 0.275, 0.095], [0.018, 0.206, 0.538], [0.480, 0.794, 0.462], [0.982, 0.794, 0.462], [0.798, 0.044, 0.596], [0.202, 0.956, 0.404]],
  "mass_density_g_cm3": 6.37,
  "dos_ef_per_ev_cell": 8.34,
  "e_form_raw_ev_per_atom": -0.88
}

{
  "formula": "YBiN3",
  "functional": "GGA-PBE",
  "state": "relaxed",
  "cell": [[4.406, 0.000, 0.000], [0.000, 4.406, 0.000], [0.000, 0.000, 4.406]],
  "species": ["N", "N", "N", "Bi", "Y"],
  "fractional_positions": [[0.000, 0.000, 0.500], [0.500, 0.000, 0.000], [0.000, 0.500, 0.000], [0.500, 0.500, 0.500], [0.000, 0.000, 0.000]],
  "mass_density_g_cm3": 6.60,
  "dos_ef_per_ev_cell": 2.01,
  "e_form_raw_ev_per_atom": 1.03
}